1.
# YHf2CuSi

Crystalline YHf2CuSi at its relaxed geometry (PBE-GGA, the Alexandria database).

abc: 4.987 4.382 4.987
angles: 90.00 90.00 90.00
Element x y z (fractional)
Cu 0.000 0.000 0.000
Si 0.000 0.500 0.000
Hf 0.000 0.000 0.500
Hf 0.500 0.000 0.000
Y 0.500 0.500 0.500

Properties
**ΔE_f (raw)**: 358 meV per atom
**Space group**: P4/mmm

2.
# SmHf2Cu

Crystalline SmHf2Cu at its relaxed geometry (PBE-GGA, the Alexandria database).

abc: 3.285 3.285 8.042
angles: 90.00 90.00 90.00
Element x y z (fractional)
Sm 0.500 0.500 0.500
Hf 0.000 0.000 0.799
Hf 0.000 0.000 0.201
Cu 0.500 0.500 0.000

Properties
**Space group**: P4/mmm

3.
# SmHf2Cu9

Crystalline SmHf2Cu9 at its relaxed geometry (PBE-GGA, the Alexandria database).

abc: 5.088 5.088 8.624
angles: 72.84 72.84 60.00
Element x y z (fractional)
Cu 0.333 0.333 0.002
Cu 0.414 0.414 0.255
Cu 0.500 0.500 0.500
Cu 0.414 0.916 0.255
Cu 0.586 0.084 0.745
Cu 0.084 0.586 0.745
Cu 0.916 0.414 0.255
Cu 0.667 0.667 0.998
Cu 0.586 0.586 0.745
Hf 0.849 0.849 0.454
Hf 0.151 0.151 0.546
Sm 0.000 0.000 0.000

Properties
**Space group**: R-3m

no.,VASP energy (eV/atom)
1,-6.82
2,-7.09
3,-5.26